Computed, not measured: a crystal of LiZn2Hg relaxed with PBEsol at the meta-GGA SCAN level of DFT.

For the total energy, the calculation gives -0.9018 hartree per atom. The calculation puts the energy of formation from the pure elements at -56 kJ/mol of formula units.

Unit cell a=3.282 b=3.282 c=5.854 alpha=90.00 beta=90.00 gamma=90.00
Fractional coordinates of all 4 atoms:
Li1 0.000 0.000 0.000
Zn1 0.000 0.000 0.465
Zn2 0.500 0.500 0.243
Hg1 0.500 0.500 0.757